Density functional theory data (PBE) for a relaxed structure of NaGaPt2.

```
NaGaPt2
1.0
1.508 0.871 8.754
-1.508 0.871 8.754
0.000 -1.741 8.754
Na Ga Pt
1 1 2
Direct
0.000 0.000 0.000
0.500 0.500 0.500
0.238 0.238 0.238
0.762 0.762 0.762
```

total moment = 0.0 Bohr magnetons per cell
Fermi-level density of states = 2.23 states/eV/cell
formation energy = -0.293 eV per atom
space-group type = R-3m (166)

Density functional theory data (PBE) for a relaxed structure of KNa2Cd2.

```
KNa2Cd2
1.0
-2.489 2.489 7.166
2.489 -2.489 7.166
2.489 2.489 -7.166
K Na Cd
1 2 2
Direct
0.000 0.000 0.000
0.250 0.750 0.500
0.750 0.250 0.500
0.399 0.399 0.000
0.601 0.601 0.000
```

total moment = 0.0 Bohr magnetons per cell
energy above the most stable polymorph in this dataset = 17 meV/atom
Fermi-level density of states = 2.30 states/eV/cell
formation energy = -0.032 eV per atom
space-group type = I4/mmm (139)

Density functional theory data (PBE) for a relaxed structure of BaTbBS4.

```
BaTbBS4
1.0
6.155 0.000 0.000
0.000 6.434 0.000
-2.639 0.000 7.974
Ba Tb B S
2 2 2 8
Direct
0.216 0.250 0.425
0.784 0.750 0.575
0.273 0.250 0.950
0.727 0.750 0.050
0.290 0.750 0.184
0.710 0.250 0.816
0.104 0.750 0.336
0.110 0.750 0.948
0.491 0.510 0.226
0.491 0.990 0.226
0.509 0.010 0.774
0.509 0.490 0.774
0.890 0.250 0.052
0.896 0.250 0.664
```

total moment = 0.0 Bohr magnetons per cell
Fermi-level density of states = 0.00 states/eV/cell
uncorrected energy = -5.784 eV per atom
space-group type = P2_1/m (11)

Density functional theory data (PBE) for a relaxed structure of InCuPb2.

```
InCuPb2
1.0
4.842 0.000 0.000
0.000 4.842 0.000
0.000 0.000 4.374
In Cu Pb
1 1 2
Direct
0.000 0.000 0.000
0.500 0.500 0.000
0.000 0.500 0.500
0.500 0.000 0.500
```

total moment = 0.0 Bohr magnetons per cell
Fermi-level density of states = 1.81 states/eV/cell
formation energy = 0.243 eV per atom
space-group type = P4/mmm (123)

Density functional theory data (PBE) for a relaxed structure of Y2AlCu.

```
Y2AlCu
1.0
1.870 1.080 8.239
-1.870 1.080 8.239
0.000 -2.159 8.239
Y Al Cu
2 1 1
Direct
0.244 0.244 0.244
0.756 0.756 0.756
0.000 0.000 0.000
0.500 0.500 0.500
```

total moment = 0.0 Bohr magnetons per cell
Fermi-level density of states = 5.48 states/eV/cell
formation energy = -0.064 eV per atom
space-group type = R-3m (166)

Density functional theory data (PBE) for a relaxed structure of Re2TeMo.

```
Re2TeMo
1.0
-1.560 2.268 4.660
1.560 -2.268 4.660
1.560 2.268 -4.660
Re Te Mo
2 1 1
Direct
0.235 0.235 0.000
0.765 0.765 0.000
0.000 0.500 0.500
0.500 0.000 0.500
```

total moment = 0.0 Bohr magnetons per cell
Fermi-level density of states = 4.09 states/eV/cell
uncorrected energy = -9.148 eV per atom
space-group type = Immm (71)

Density functional theory data (PBE) for a relaxed structure of Cs12Cd5Au2.

```
Cs12Cd5Au2
1.0
8.779 -6.600 0.000
8.779 6.600 0.000
-3.057 0.000 10.549
Cs Cd Au
12 5 2
Direct
0.066 0.066 0.371
0.088 0.674 0.103
0.173 0.537 0.674
0.326 0.912 0.897
0.392 0.392 0.323
0.463 0.827 0.326
0.537 0.173 0.674
0.608 0.608 0.677
0.674 0.088 0.103
0.827 0.463 0.326
0.912 0.326 0.897
0.934 0.934 0.629
0.188 0.188 0.712
0.323 0.323 0.948
0.500 0.500 0.000
0.677 0.677 0.052
0.812 0.812 0.288
0.258 0.742 0.500
0.742 0.258 0.500
```

total moment = 0.0 Bohr magnetons per cell
Fermi-level density of states = 15.43 states/eV/cell
formation energy = -0.050 eV per atom
space-group type = C2/m (12)

Density functional theory data (PBE) for a relaxed structure of Pr2SmTlC.

```
Pr2SmTlC
1.0
5.176 0.000 0.000
0.000 5.176 0.000
0.000 0.000 5.064
Pr Sm Tl C
2 1 1 1
Direct
0.000 0.500 0.000
0.500 0.000 0.000
0.000 0.000 0.500
0.500 0.500 0.500
0.000 0.000 0.000
```

total moment = 0.0 Bohr magnetons per cell
Fermi-level density of states = 2.11 states/eV/cell
formation energy = -0.276 eV per atom
space-group type = P4/mmm (123)

Density functional theory data (PBE) for a relaxed structure of La2TlPt.

```
La2TlPt
1.0
-1.897 2.434 6.156
1.897 -2.434 6.156
1.897 2.434 -6.156
La Tl Pt
2 1 1
Direct
0.000 0.000 0.000
0.707 0.207 0.500
0.400 0.400 0.000
0.205 0.705 0.500
```

total moment = 0.0 Bohr magnetons per cell
energy above the most stable polymorph in this dataset = 124 meV/atom
Fermi-level density of states = 3.33 states/eV/cell
formation energy = -0.664 eV per atom
space-group type = Imm2 (44)

Density functional theory data (PBE) for a relaxed structure of AcPuTlCu.

```
AcPuTlCu
1.0
0.000 3.862 3.862
3.862 0.000 3.862
3.862 3.862 0.000
Ac Pu Tl Cu
1 1 1 1
Direct
0.000 0.000 0.000
0.500 0.500 0.500
0.250 0.250 0.250
0.750 0.750 0.750
```

total moment = 5.9 Bohr magnetons per cell
Fermi-level density of states = 13.26 states/eV/cell
formation energy = 0.036 eV per atom
space-group type = F-43m (216)

Density functional theory data (PBE) for a relaxed structure of PrLuBeCu.

```
PrLuBeCu
1.0
0.000 3.488 3.488
3.488 0.000 3.488
3.488 3.488 0.000
Pr Lu Be Cu
1 1 1 1
Direct
0.000 0.000 0.000
0.500 0.500 0.500
0.250 0.250 0.250
0.750 0.750 0.750
```

total moment = 0.0 Bohr magnetons per cell
Fermi-level density of states = 1.93 states/eV/cell
formation energy = -0.007 eV per atom
space-group type = F-43m (216)

Density functional theory data (PBE) for a relaxed structure of LaNb3Pb.

```
LaNb3Pb
1.0
4.988 0.000 0.000
0.000 4.988 0.000
0.000 0.000 4.988
La Nb Pb
1 3 1
Direct
0.000 0.000 0.000
0.000 0.000 0.500
0.000 0.500 0.000
0.500 0.000 0.000
0.500 0.500 0.500
```

total moment = 0.0 Bohr magnetons per cell
energy above the most stable polymorph in this dataset = 195 meV/atom
Fermi-level density of states = 6.01 states/eV/cell
formation energy = 1.685 eV per atom
space-group type = Pm-3m (221)

Please write out number 9 again, unchanged.
Density functional theory data (PBE) for a relaxed structure of La2TlPt.

```
La2TlPt
1.0
-1.897 2.434 6.156
1.897 -2.434 6.156
1.897 2.434 -6.156
La Tl Pt
2 1 1
Direct
0.000 0.000 0.000
0.707 0.207 0.500
0.400 0.400 0.000
0.205 0.705 0.500
```

total moment = 0.0 Bohr magnetons per cell
energy above the most stable polymorph in this dataset = 124 meV/atom
Fermi-level density of states = 3.33 states/eV/cell
formation energy = -0.664 eV per atom
space-group type = Imm2 (44)

Q: Among the records above, which one has the highest total moment?
A: AcPuTlCu